## Y4CdHgO (PBE)

Data for a relaxed Y4CdHgO crystal.

Geometry as CIF:
```
data_Y4CdHgO
_chemical_formula_sum 'Y16 Cd4 Hg4 O4'
_symmetry_space_group_name_H-M 'C m c m'
_symmetry_Int_Tables_number 63
_symmetry_space_group_name_Hall '-C 2c 2'
_cell_length_a 6.7284
_cell_length_b 15.2130
_cell_length_c 6.7355
_cell_angle_alpha 90.00
_cell_angle_beta 90.00
_cell_angle_gamma 90.00
loop_
_atom_site_label
_atom_site_type_symbol
_atom_site_fract_x
_atom_site_fract_y
_atom_site_fract_z
Y1 Y 0.0000 0.0724 0.2500
Y2 Y 0.0000 0.4234 0.2500
Y3 Y 0.2500 0.2500 0.0000
Cd1 Cd 0.0000 0.3812 0.7500
Hg1 Hg 0.0000 0.1204 0.7500
O1 O 0.0000 0.2517 0.2500
```

## Properties
ρ ... 6.60 g cm⁻³
Density of states at the Fermi level ... 0.180 states/eV per atom
E_tot ... -5.6056 eV/atom
Magnetic moment ... 0.000 μB per atom